No. 1
This record from Alexandria via LeMat-Bulk describes a geometry-optimized Ti3PbN structure. The functional is PBE.

Geometry as CIF:
```
data_Ti3PbN
_chemical_formula_sum 'Ti6 Pb2 N2'
_space_group_name_H-M_alt 'P 1'
_space_group_IT_number 1
_cell_length_a 4.185
_cell_length_b 6.238
_cell_length_c 6.702
_cell_angle_alpha 90.00
_cell_angle_beta 90.00
_cell_angle_gamma 90.00
loop_
_space_group_symop_operation_xyz
'x,y,z'
loop_
_atom_site_label
_atom_site_type_symbol
_atom_site_fract_x
_atom_site_fract_y
_atom_site_fract_z
Ti1 Ti 0.250 0.006 0.371
Ti2 Ti 0.750 0.994 0.629
Ti3 Ti 0.750 0.506 0.629
Ti4 Ti 0.250 0.494 0.371
Ti5 Ti 0.750 0.250 0.134
Ti6 Ti 0.250 0.750 0.866
Pb1 Pb 0.250 0.250 0.790
Pb2 Pb 0.750 0.750 0.210
N1 N 0.250 0.250 0.207
N2 N 0.750 0.750 0.793
```

Results
Formation energy without anion corrections: -0.33 eV per atom
Density: 6.9 g cm⁻³
VASP energy: -7.473 eV per atom
Space group: Pmmn, No. 59
Magnetic moment: 0.0001 μB per atom

=====

No. 2
This record from Alexandria via LeMat-Bulk describes a geometry-optimized Ti6Pb2N structure. The functional is PBE.

Geometry as CIF:
```
data_Ti6Pb2N
_chemical_formula_sum 'Ti6 Pb2 N1'
_space_group_name_H-M_alt 'P 1'
_space_group_IT_number 1
_cell_length_a 5.965
_cell_length_b 5.965
_cell_length_c 5.967
_cell_angle_alpha 59.99
_cell_angle_beta 59.99
_cell_angle_gamma 60.02
loop_
_space_group_symop_operation_xyz
'x,y,z'
loop_
_atom_site_label
_atom_site_type_symbol
_atom_site_fract_x
_atom_site_fract_y
_atom_site_fract_z
Ti1 Ti 0.245 0.245 0.754
Ti2 Ti 0.245 0.754 0.246
Ti3 Ti 0.755 0.246 0.754
Ti4 Ti 0.754 0.245 0.246
Ti5 Ti 0.246 0.755 0.754
Ti6 Ti 0.755 0.755 0.246
Pb1 Pb 0.250 0.250 0.250
Pb2 Pb 0.750 0.750 0.750
N1 N 0.500 0.500 0.500
```

Results
Formation energy without anion corrections: -0.44 eV per atom
Density: 7.9 g cm⁻³
VASP energy: -7.448 eV per atom
Distance to the lowest polymorph of the same formula: 0.0 meV/atom
Space group: Fm-3m, No. 225
Magnetic moment: 0.0001 μB per atom

=====

No. 3
This record from Alexandria via LeMat-Bulk describes a geometry-optimized Ti6Pb3N structure. The functional is PBE.

Geometry as CIF:
```
data_Ti6Pb3N
_chemical_formula_sum 'Ti6 Pb3 N1'
_space_group_name_H-M_alt 'P 1'
_space_group_IT_number 1
_cell_length_a 7.324
_cell_length_b 5.746
_cell_length_c 5.746
_cell_angle_alpha 60.29
_cell_angle_beta 70.42
_cell_angle_gamma 70.42
loop_
_space_group_symop_operation_xyz
'x,y,z'
loop_
_atom_site_label
_atom_site_type_symbol
_atom_site_fract_x
_atom_site_fract_y
_atom_site_fract_z
Ti1 Ti 0.391 0.154 0.641
Ti2 Ti 0.609 0.359 0.846
Ti3 Ti 0.609 0.846 0.359
Ti4 Ti 0.391 0.641 0.154
Ti5 Ti 0.230 0.674 0.674
Ti6 Ti 0.770 0.326 0.326
Pb1 Pb 0.223 0.215 0.215
Pb2 Pb 0.777 0.785 0.785
Pb3 Pb 0.000 0.000 0.000
N1 N 0.500 0.500 0.500
```

Results
Formation energy without anion corrections: -0.27 eV per atom
Density: 7.9 g cm⁻³
VASP energy: -6.948 eV per atom
Space group: C2/m, No. 12
Magnetic moment: 0.0001 μB per atom

=====

No. 4
This record from Alexandria via LeMat-Bulk describes a geometry-optimized Ti4PbN structure. The functional is PBE.

Geometry as CIF:
```
data_Ti4PbN
_chemical_formula_sum 'Ti8 Pb2 N2'
_space_group_name_H-M_alt 'P 1'
_space_group_IT_number 1
_cell_length_a 5.508
_cell_length_b 5.508
_cell_length_c 7.640
_cell_angle_alpha 90.00
_cell_angle_beta 90.00
_cell_angle_gamma 91.26
loop_
_space_group_symop_operation_xyz
'x,y,z'
loop_
_atom_site_label
_atom_site_type_symbol
_atom_site_fract_x
_atom_site_fract_y
_atom_site_fract_z
Ti1 Ti 0.715 0.078 0.250
Ti2 Ti 0.285 0.922 0.750
Ti3 Ti 0.078 0.715 0.250
Ti4 Ti 0.922 0.285 0.750
Ti5 Ti 0.767 0.767 0.563
Ti6 Ti 0.233 0.233 0.063
Ti7 Ti 0.767 0.767 0.937
Ti8 Ti 0.233 0.233 0.437
Pb1 Pb 0.434 0.434 0.750
Pb2 Pb 0.566 0.566 0.250
N1 N 0.935 0.935 0.750
N2 N 0.065 0.065 0.250
```

Results
Formation energy without anion corrections: -0.06 eV per atom
Density: 5.9 g cm⁻³
VASP energy: -7.330 eV per atom
Distance to the lowest polymorph of the same formula: 588.3 meV/atom
Space group: Cmcm, No. 63
Magnetic moment: 0.0000 μB per atom

=====

No. 5
This record from Alexandria via LeMat-Bulk describes a geometry-optimized TiPbN3 structure. The functional is PBE.

Geometry as CIF:
```
data_TiPbN3
_chemical_formula_sum 'Ti1 Pb1 N3'
_space_group_name_H-M_alt 'P 1'
_space_group_IT_number 1
_cell_length_a 4.049
_cell_length_b 4.049
_cell_length_c 4.049
_cell_angle_alpha 90.00
_cell_angle_beta 90.00
_cell_angle_gamma 90.00
loop_
_space_group_symop_operation_xyz
'x,y,z'
loop_
_atom_site_label
_atom_site_type_symbol
_atom_site_fract_x
_atom_site_fract_y
_atom_site_fract_z
Pb1 Pb 0.500 0.500 0.500
N1 N 0.000 0.500 0.000
N2 N 0.000 0.000 0.500
N3 N 0.500 0.000 0.000
Ti1 Ti 0.000 0.000 0.000
```

Results
Formation energy without anion corrections: 0.39 eV per atom
Density: 7.4 g cm⁻³
VASP energy: -6.925 eV per atom
Space group: Pm-3m, No. 221
Magnetic moment: 0.5758 μB per atom

=====

No. 6
This record from Alexandria via LeMat-Bulk describes a geometry-optimized TiPbN3 structure. The functional is PBE.

Geometry as CIF:
```
data_TiPbN3
_chemical_formula_sum 'Ti1 Pb1 N3'
_space_group_name_H-M_alt 'P 1'
_space_group_IT_number 1
_cell_length_a 4.149
_cell_length_b 4.149
_cell_length_c 4.149
_cell_angle_alpha 90.00
_cell_angle_beta 90.00
_cell_angle_gamma 90.00
loop_
_space_group_symop_operation_xyz
'x,y,z'
loop_
_atom_site_label
_atom_site_type_symbol
_atom_site_fract_x
_atom_site_fract_y
_atom_site_fract_z
Pb1 Pb 0.000 0.000 0.000
N1 N 0.000 0.500 0.000
N2 N 0.000 0.000 0.500
N3 N 0.500 0.000 0.000
Ti1 Ti 0.500 0.500 0.500
```

Results
Formation energy without anion corrections: 1.88 eV per atom
Density: 6.9 g cm⁻³
VASP energy: -5.436 eV per atom
Space group: Pm-3m, No. 221
Magnetic moment: 0.0001 μB per atom

=====

No. 7
This record from Alexandria via LeMat-Bulk describes a geometry-optimized TiPb2N structure. The functional is PBE.

Geometry as CIF:
```
data_TiPb2N
_chemical_formula_sum 'Ti2 Pb4 N2'
_space_group_name_H-M_alt 'P 1'
_space_group_IT_number 1
_cell_length_a 7.072
_cell_length_b 7.072
_cell_length_c 5.977
_cell_angle_alpha 53.73
_cell_angle_beta 53.73
_cell_angle_gamma 90.00
loop_
_space_group_symop_operation_xyz
'x,y,z'
loop_
_atom_site_label
_atom_site_type_symbol
_atom_site_fract_x
_atom_site_fract_y
_atom_site_fract_z
Pb1 Pb 0.564 0.125 0.250
Pb2 Pb 0.186 0.625 0.250
Pb3 Pb 0.375 0.436 0.750
Pb4 Pb 0.875 0.814 0.750
N1 N 0.500 0.500 0.000
N2 N 0.250 0.750 0.500
Ti1 Ti 0.000 0.000 0.000
Ti2 Ti 0.750 0.250 0.500
```

Results
Formation energy without anion corrections: 0.76 eV per atom
Density: 9.7 g cm⁻³
VASP energy: -5.149 eV per atom
Space group: I-42d, No. 122
Magnetic moment: 0.0000 μB per atom

=====

No. 8
This record from Alexandria via LeMat-Bulk describes a geometry-optimized Ti8PbN2 structure. The functional is PBE.

Geometry as CIF:
```
data_Ti8PbN2
_chemical_formula_sum 'Ti8 Pb1 N2'
_space_group_name_H-M_alt 'P 1'
_space_group_IT_number 1
_cell_length_a 4.622
_cell_length_b 7.537
_cell_length_c 7.537
_cell_angle_alpha 42.04
_cell_angle_beta 72.15
_cell_angle_gamma 72.15
loop_
_space_group_symop_operation_xyz
'x,y,z'
loop_
_atom_site_label
_atom_site_type_symbol
_atom_site_fract_x
_atom_site_fract_y
_atom_site_fract_z
Ti1 Ti 0.398 0.342 0.863
Ti2 Ti 0.602 0.137 0.658
Ti3 Ti 0.230 0.771 0.771
Ti4 Ti 0.770 0.229 0.229
Ti5 Ti 0.398 0.863 0.342
Ti6 Ti 0.602 0.658 0.137
Ti7 Ti 0.878 0.622 0.622
Ti8 Ti 0.122 0.378 0.378
Pb1 Pb 0.000 0.000 0.000
N1 N 0.729 0.772 0.772
N2 N 0.271 0.228 0.228
```

Results
Formation energy without anion corrections: -0.36 eV per atom
Density: 6.2 g cm⁻³
VASP energy: -7.952 eV per atom
Space group: Immm, No. 71
Magnetic moment: 0.0000 μB per atom

=====

No. 9
This record from Alexandria via LeMat-Bulk describes a geometry-optimized Ti2Pb5N6 structure. The functional is PBE.

Geometry as CIF:
```
data_Ti2Pb5N6
_chemical_formula_sum 'Ti4 Pb10 N12'
_space_group_name_H-M_alt 'P 1'
_space_group_IT_number 1
_cell_length_a 6.099
_cell_length_b 6.099
_cell_length_c 14.906
_cell_angle_alpha 90.95
_cell_angle_beta 90.95
_cell_angle_gamma 79.76
loop_
_space_group_symop_operation_xyz
'x,y,z'
loop_
_atom_site_label
_atom_site_type_symbol
_atom_site_fract_x
_atom_site_fract_y
_atom_site_fract_z
Ti1 Ti 0.380 0.096 0.426
Ti2 Ti 0.904 0.620 0.074
Ti3 Ti 0.620 0.904 0.574
Ti4 Ti 0.096 0.380 0.926
Pb1 Pb 0.699 0.191 0.012
Pb2 Pb 0.809 0.301 0.488
Pb3 Pb 0.301 0.809 0.988
Pb4 Pb 0.191 0.699 0.512
Pb5 Pb 0.822 0.892 0.326
Pb6 Pb 0.108 0.178 0.174
Pb7 Pb 0.178 0.108 0.674
Pb8 Pb 0.892 0.822 0.826
Pb9 Pb 0.494 0.506 0.250
Pb10 Pb 0.506 0.494 0.750
N1 N 0.083 0.042 0.406
N2 N 0.958 0.917 0.094
N3 N 0.917 0.958 0.594
N4 N 0.042 0.083 0.906
N5 N 0.578 0.229 0.349
N6 N 0.771 0.422 0.151
N7 N 0.422 0.771 0.651
N8 N 0.229 0.578 0.849
N9 N 0.567 0.815 0.451
N10 N 0.185 0.433 0.049
N11 N 0.433 0.185 0.549
N12 N 0.815 0.567 0.951
```

Results
Formation energy without anion corrections: -0.08 eV per atom
Density: 7.4 g cm⁻³
VASP energy: -6.561 eV per atom
Space group: C2/c, No. 15
Magnetic moment: 0.0000 μB per atom

=====

No. 10
This record from Alexandria via LeMat-Bulk describes a geometry-optimized Ti4PbN structure. The functional is PBE.

Geometry as CIF:
```
data_Ti4PbN
_chemical_formula_sum 'Ti8 Pb2 N2'
_space_group_name_H-M_alt 'P 1'
_space_group_IT_number 1
_cell_length_a 4.485
_cell_length_b 5.913
_cell_length_c 7.593
_cell_angle_alpha 90.00
_cell_angle_beta 107.16
_cell_angle_gamma 90.00
loop_
_space_group_symop_operation_xyz
'x,y,z'
loop_
_atom_site_label
_atom_site_type_symbol
_atom_site_fract_x
_atom_site_fract_y
_atom_site_fract_z
Ti1 Ti 0.681 0.750 0.362
Ti2 Ti 0.319 0.250 0.638
Ti3 Ti 0.497 0.750 0.994
Ti4 Ti 0.503 0.250 0.006
Ti5 Ti 0.097 0.990 0.193
Ti6 Ti 0.903 0.490 0.807
Ti7 Ti 0.097 0.510 0.193
Ti8 Ti 0.903 0.010 0.807
Pb1 Pb 0.299 0.750 0.598
Pb2 Pb 0.701 0.250 0.402
N1 N 0.994 0.750 0.989
N2 N 0.006 0.250 0.011
```

Results
Formation energy without anion corrections: -0.65 eV per atom
Density: 7.1 g cm⁻³
VASP energy: -7.918 eV per atom
Distance to the lowest polymorph of the same formula: 0.0 meV/atom
Space group: Cmcm, No. 63
Magnetic moment: 0.0002 μB per atom